# 1
Sb2IrSeI after structural relaxation, computed with GGA-PBE.

Lattice parameters (Å, degrees): 5.1593 5.1593 5.4588 90.00 90.00 90.00
With the nearest neighbours (Å) after each atom.
Space group P4/mmm (No. 123)
One atom of each set of equivalent atoms:
Sb  0.0000  0.5000  0.0000 [2 per cell]  2 Ir 2.58
Ir  0.0000  0.0000  0.0000 [1 per cell]  4 Sb 2.58, 2 I 2.73
Se  0.5000  0.5000  0.5000 [1 per cell]  4 I 3.65, 8 Sb 3.76
I  0.0000  0.0000  0.5000 [1 per cell]  2 Ir 2.73

Summary:
* offset from the most stable computed form: 0 kJ/mol of formula units
* formation energy (no corrections): 0.5228 eV per atom

---

# 2
SiSb2IrI after structural relaxation, computed with GGA-PBE.

Lattice parameters (Å, degrees): 5.0948 5.0948 5.6478 90.00 90.00 90.00
With the nearest neighbours (Å) after each atom.
Space group P4/mmm (No. 123)
One atom of each set of equivalent atoms:
Si  0.0000  0.0000  0.0000 [1 per cell]  4 I 3.60, 8 Sb 3.80
Sb  0.0000  0.5000  0.5000 [2 per cell]  2 Ir 2.55
Ir  0.5000  0.5000  0.5000 [1 per cell]  4 Sb 2.55, 2 I 2.82
I  0.5000  0.5000  0.0000 [1 per cell]  2 Ir 2.82

Summary:
* offset from the most stable computed form: 0 kJ/mol of formula units
* formation energy (no corrections): 0.8188 eV per atom

---

# 3
SiSb2IrI after structural relaxation, computed with GGA-PBE.

Lattice parameters (Å, degrees): 5.1110 5.1110 5.0967 90.00 90.00 90.00
With the nearest neighbours (Å) after each atom.
Space group P4/mmm (No. 123)
One atom of each set of equivalent atoms:
Si  0.0000  0.0000  0.0000 [1 per cell]  2 I 2.55, 4 Sb 2.56
Sb  0.0000  0.5000  0.0000 [2 per cell]  2 Si 2.56
Ir  0.5000  0.5000  0.5000 [1 per cell]  8 Sb 3.61, 4 I 3.61
I  0.0000  0.0000  0.5000 [1 per cell]  2 Si 2.55

Summary:
* offset from the most stable computed form: 246 kJ/mol of formula units
* formation energy (no corrections): 1.3285 eV per atom

---

# 4
SnSb2IrI after structural relaxation, computed with GGA-PBE.

Lattice parameters (Å, degrees): 5.1349 5.1349 5.7332 90.00 90.00 90.00
With the nearest neighbours (Å) after each atom.
Space group P4/mmm (No. 123)
One atom of each set of equivalent atoms:
Sn  0.0000  0.0000  0.0000 [1 per cell]  4 I 3.63, 8 Sb 3.85
Sb  0.0000  0.5000  0.5000 [2 per cell]  2 Ir 2.57
Ir  0.5000  0.5000  0.5000 [1 per cell]  4 Sb 2.57, 2 I 2.87
I  0.5000  0.5000  0.0000 [1 per cell]  2 Ir 2.87

Summary:
* offset from the most stable computed form: 0 kJ/mol of formula units
* formation energy (no corrections): 0.4307 eV per atom

---

# 5
SrSbIr2I after structural relaxation, computed with GGA-PBE.

Lattice parameters (Å, degrees): 4.9540 4.9540 5.8985 90.00 90.00 90.00
With the nearest neighbours (Å) after each atom.
Space group P4/mmm (No. 123)
One atom of each set of equivalent atoms:
Sr  0.0000  0.0000  0.0000 [1 per cell]  4 Sb 3.50, 8 Ir 3.85
Sb  0.5000  0.5000  0.0000 [1 per cell]  2 I 2.95
Ir  0.0000  0.5000  0.5000 [2 per cell]  2 I 2.48
I  0.5000  0.5000  0.5000 [1 per cell]  4 Ir 2.48

Summary:
* formation energy (no corrections): 1.0082 eV per atom

---

# 6
SrSb2IrI after structural relaxation, computed with GGA-PBE.

Lattice parameters (Å, degrees): 5.1958 5.1958 5.8746 90.00 90.00 90.00
With the nearest neighbours (Å) after each atom.
Space group P4/mmm (No. 123)
One atom of each set of equivalent atoms:
Sr  0.0000  0.0000  0.0000 [1 per cell]  4 I 3.67, 8 Sb 3.92
Sb  0.0000  0.5000  0.5000 [2 per cell]  2 Ir 2.60
Ir  0.5000  0.5000  0.5000 [1 per cell]  4 Sb 2.60
I  0.5000  0.5000  0.0000 [1 per cell]  2 Ir 2.94

Summary:
* offset from the most stable computed form: 0 kJ/mol of formula units
* formation energy (no corrections): -0.1262 eV per atom

---

# 7
SrSb2IrI after structural relaxation, computed with GGA-PBE.

Lattice parameters (Å, degrees): 6.1633 6.1633 5.9517 90.00 90.00 90.00
With the nearest neighbours (Å) after each atom.
Space group P4/mmm (No. 123)
One atom of each set of equivalent atoms:
Sr  0.0000  0.0000  0.0000 [1 per cell]  2 I 2.98, 4 Sb 3.08
Sb  0.0000  0.5000  0.0000 [2 per cell]  2 Sr 3.08
Ir  0.5000  0.5000  0.5000 [1 per cell]  8 Sb 4.28, 4 I 4.36
I  0.0000  0.0000  0.5000 [1 per cell]  2 Sr 2.98

Summary:
* offset from the most stable computed form: 790 kJ/mol of formula units
* formation energy (no corrections): 1.5113 eV per atom

---

# 8
TaSbIrI2 after structural relaxation, computed with GGA-PBE.

Lattice parameters (Å, degrees): 5.3147 5.3147 5.5810 90.00 90.00 90.00
With the nearest neighbours (Å) after each atom.
Space group P4/mmm (No. 123)
One atom of each set of equivalent atoms:
Ta  0.0000  0.0000  0.0000 [1 per cell]  4 I 2.66, 2 Sb 2.79
Sb  0.0000  0.0000  0.5000 [1 per cell]  2 Ta 2.79
Ir  0.5000  0.5000  0.5000 [1 per cell]  4 Sb 3.76, 8 I 3.85
I  0.0000  0.5000  0.0000 [2 per cell]  2 Ta 2.66

Summary:
* offset from the most stable computed form: 46 kJ/mol of formula units
* formation energy (no corrections): 1.4032 eV per atom

---

# 9
TaSb2IrI after structural relaxation, computed with GGA-PBE.

Lattice parameters (Å, degrees): 5.0954 5.0954 5.3001 90.00 90.00 90.00
With the nearest neighbours (Å) after each atom.
Space group P4/mmm (No. 123)
One atom of each set of equivalent atoms:
Ta  0.0000  0.0000  0.0000 [1 per cell]  4 I 3.60, 8 Sb 3.68
Sb  0.0000  0.5000  0.5000 [2 per cell]  2 Ir 2.55
Ir  0.5000  0.5000  0.5000 [1 per cell]  4 Sb 2.55, 2 I 2.65
I  0.5000  0.5000  0.0000 [1 per cell]  2 Ir 2.65

Summary:
* offset from the most stable computed form: 0 kJ/mol of formula units
* formation energy (no corrections): 1.2626 eV per atom

---

# 10
TaSbIrI2 after structural relaxation, computed with GGA-PBE.

Lattice parameters (Å, degrees): 5.3712 5.3712 5.0822 90.00 90.00 90.00
With the nearest neighbours (Å) after each atom.
Space group P4/mmm (No. 123)
One atom of each set of equivalent atoms:
Ta  0.0000  0.0000  0.0000 [1 per cell]  8 I 3.70, 4 Sb 3.80
Sb  0.5000  0.5000  0.0000 [1 per cell]  2 Ir 2.54
Ir  0.5000  0.5000  0.5000 [1 per cell]  2 Sb 2.54, 4 I 2.69
I  0.0000  0.5000  0.5000 [2 per cell]  2 Ir 2.69

Summary:
* offset from the most stable computed form: 0 kJ/mol of formula units
* formation energy (no corrections): 1.3075 eV per atom

---

# 11
TaSb2IrI after structural relaxation, computed with GGA-PBE.

Lattice parameters (Å, degrees): 5.3567 5.3567 5.2589 90.00 90.00 90.00
With the nearest neighbours (Å) after each atom.
Space group P4/mmm (No. 123)
One atom of each set of equivalent atoms:
Ta  0.0000  0.0000  0.0000 [1 per cell]  2 I 2.63, 4 Sb 2.68
Sb  0.0000  0.5000  0.0000 [2 per cell]  2 Ta 2.68
Ir  0.5000  0.5000  0.5000 [1 per cell]  8 Sb 3.75, 4 I 3.79
I  0.0000  0.0000  0.5000 [1 per cell]  2 Ta 2.63

Summary:
* offset from the most stable computed form: 50 kJ/mol of formula units
* formation energy (no corrections): 1.3671 eV per atom

---

# 12
TcSb2IrI after structural relaxation, computed with GGA-PBE.

Lattice parameters (Å, degrees): 5.0100 5.0100 5.3482 90.00 90.00 90.00
With the nearest neighbours (Å) after each atom.
Space group P4/mmm (No. 123)
One atom of each set of equivalent atoms:
Tc  0.0000  0.0000  0.0000 [1 per cell]  4 Sb 2.51, 2 I 2.67
Sb  0.0000  0.5000  0.0000 [2 per cell]  2 Tc 2.51
Ir  0.5000  0.5000  0.5000 [1 per cell]  4 I 3.54, 8 Sb 3.66
I  0.0000  0.0000  0.5000 [1 per cell]  2 Tc 2.67

Summary:
* offset from the most stable computed form: 50 kJ/mol of formula units
* formation energy (no corrections): 1.2750 eV per atom